[1]
The following is a PBE calculation of an optimized crystal structure of LaI, from the Alexandria database.

Lattice parameters (Å, degrees): 3.9638 3.9638 3.9638 90.00 90.00 90.00
Closest atoms and distances in Å follow each position.
Positions (direct):
La: 0.0000 0.0000 0.0000  8 I 3.43
I: 0.5000 0.5000 0.5000  8 La 3.43

Calculated values
Total DFT energy (no corrections) ... -8.3 eV per formula unit
DOS at the Fermi energy ... 0.82 states/eV/atom
V ... 31.14 Å³ per atom

=====

[2]
The following is a PBE calculation of an optimized crystal structure of BaNaIrS3, from the Alexandria database.

Lattice parameters (Å, degrees): 7.3713 7.3713 6.7322 90.00 90.00 123.56
Closest atoms and distances in Å follow each position.
Positions (direct):
Ba: 0.2101 0.7899 0.7500  1 Ir 3.38, 8 S 3.38-3.56
Ba: 0.7899 0.2101 0.2500  1 Ir 3.38, 8 S 3.38-3.56
Na: 0.4380 0.5620 0.2500  5 S 2.64-2.74
Na: 0.5620 0.4380 0.7500  5 S 2.64-2.74
Ir: 0.0497 0.9503 0.2500  5 S 2.33-2.40
Ir: 0.9503 0.0497 0.7500  5 S 2.33-2.40
S: 0.2124 0.2124 0.0000  2 Ir 2.33
S: 0.2124 0.2124 0.5000  2 Ir 2.33
S: 0.2346 0.7654 0.2500  1 Ir 2.40, 1 Na 2.64
S: 0.7654 0.2346 0.7500  1 Ir 2.40, 1 Na 2.64
S: 0.7876 0.7876 0.0000  2 Ir 2.33
S: 0.7876 0.7876 0.5000  2 Ir 2.33

Calculated values
Total DFT energy (no corrections) ... -29.8 eV per formula unit
DOS at the Fermi energy ... 0.48 states/eV/atom
V ... 25.40 Å³ per atom

=====

[3]
The following is a PBE calculation of an optimized crystal structure of Ac6Mg2Al, from the Alexandria database.

Lattice parameters (Å, degrees): 9.6514 9.6514 9.6514 111.54 109.94 106.96
Closest atoms and distances in Å follow each position.
Positions (direct):
Ac: 0.0658 0.2433 0.8224  1 Al 3.54, 3 Mg 3.62-3.71, 1 Ac 3.93
Ac: 0.2372 0.5633 0.3261  3 Mg 3.43-3.62, 1 Al 3.56, 3 Ac 3.78
Ac: 0.2372 0.9111 0.6739  3 Mg 3.43-3.62, 1 Al 3.56, 3 Ac 3.78
Ac: 0.3072 0.2440 0.5511  2 Mg 3.39-3.61, 2 Al 3.40-3.51, 2 Ac 3.78
Ac: 0.3072 0.7560 0.0632  2 Mg 3.39-3.61, 2 Al 3.40-3.51, 2 Ac 3.78
Ac: 0.4209 0.2433 0.1776  1 Al 3.54, 3 Mg 3.62-3.71, 1 Ac 3.93
Ac: 0.5791 0.7567 0.8224  1 Al 3.54, 3 Mg 3.62-3.71, 1 Ac 3.93
Ac: 0.6928 0.2440 0.9368  2 Mg 3.39-3.61, 2 Al 3.40-3.51, 2 Ac 3.78
Ac: 0.6928 0.7560 0.4489  2 Mg 3.39-3.61, 2 Al 3.40-3.51, 2 Ac 3.78
Ac: 0.7628 0.0889 0.3261  3 Mg 3.43-3.62, 1 Al 3.56, 3 Ac 3.78
Ac: 0.7628 0.4367 0.6739  3 Mg 3.43-3.62, 1 Al 3.56, 3 Ac 3.78
Ac: 0.9342 0.7567 0.1776  1 Al 3.54, 3 Mg 3.62-3.71, 1 Ac 3.93
Mg: 0.0000 0.1337 0.1337  1 Mg 2.90
Mg: 0.0000 0.8663 0.8663  1 Mg 2.90
Mg: 0.1322 0.5000 0.6322  1 Mg 2.93
Mg: 0.8678 0.5000 0.3678  1 Mg 2.93
Al: 0.5000 0.0000 0.5000  8 Ac 3.40-3.56
Al: 0.5000 0.5000 0.0000  8 Ac 3.51-3.54

Calculated values
Total DFT energy (no corrections) ... -31.6 eV per formula unit
DFT formation energy ... -0.004 eV per atom
DOS at the Fermi energy ... 1.33 states/eV/atom
V ... 38.39 Å³ per atom

=====

[4]
The following is a PBE calculation of an optimized crystal structure of Pm2HoIn3Se6, from the Alexandria database.

Lattice parameters (Å, degrees): 7.3026 7.3026 8.1044 98.64 98.64 119.99
Closest atoms and distances in Å follow each position.
Positions (direct):
Pm: 0.1666 0.8334 0.0000  6 Se 2.95-2.96
Pm: 0.8334 0.1666 0.0000  6 Se 2.95-2.96
Ho: 0.5000 0.5000 0.0000  6 Se 2.88-2.89
In: 0.0000 0.0000 0.5000  6 Se 3.28-3.33
In: 0.3321 0.6679 0.5000  6 Se 3.28-3.34
In: 0.6679 0.3321 0.5000  6 Se 3.28-3.34
Se: 0.1041 0.4296 0.7890  1 Ho 2.88, 2 Pm 2.95
Se: 0.2454 0.2454 0.2133  1 Ho 2.89, 2 Pm 2.96
Se: 0.4296 0.1041 0.7890  1 Ho 2.88, 2 Pm 2.95
Se: 0.5704 0.8959 0.2110  1 Ho 2.88, 2 Pm 2.95
Se: 0.7546 0.7546 0.7867  1 Ho 2.89, 2 Pm 2.96
Se: 0.8959 0.5704 0.2110  1 Ho 2.88, 2 Pm 2.95

Calculated values
Total DFT energy (no corrections) ... -58.7 eV per formula unit
V ... 29.75 Å³ per atom